(1)
HoTmLu2: optimized geometry, GGA-PBE.

Geometry as CIF:
```
data_HoTmLu2
_space_group_name_H-M_alt 'P 4/m m m'
_space_group_IT_number 123
_space_group_name_Hall '-P 4 2'
_cell_length_a 4.9170
_cell_length_b 4.9170
_cell_length_c 4.9078
_cell_angle_alpha 90.00
_cell_angle_beta 90.00
_cell_angle_gamma 90.00
loop_
_atom_site_label
_atom_site_fract_x
_atom_site_fract_y
_atom_site_fract_z
_atom_site_occupancy
Ho1 0.0000 0.0000 0.0000 1
Tm1 0.5000 0.5000 0.0000 1
Lu1 0.0000 0.5000 0.5000 1
```

Properties
**Offset from the most stable computed form**: 0.0013 eV/atom
**ΔH_f (0 K)**: 32.0 meV/atom
**Magnetization**: 0.01 μB/cell

(2)
Sr5Li4Cd: optimized geometry, GGA-PBE.

Geometry as CIF:
```
data_Sr5Li4Cd
_space_group_name_H-M_alt 'P 4/m m m'
_space_group_IT_number 123
_space_group_name_Hall '-P 4 2'
_cell_length_a 4.1957
_cell_length_b 4.1957
_cell_length_c 20.8919
_cell_angle_alpha 90.00
_cell_angle_beta 90.00
_cell_angle_gamma 90.00
loop_
_atom_site_label
_atom_site_fract_x
_atom_site_fract_y
_atom_site_fract_z
_atom_site_occupancy
Sr1 0.0000 0.0000 0.0000 1
Sr2 0.0000 0.0000 0.2017 1
Sr3 0.0000 0.0000 0.4062 1
Li1 0.5000 0.5000 0.1011 1
Li2 0.5000 0.5000 0.3032 1
Cd1 0.5000 0.5000 0.5000 1
```

Properties
**ΔH_f (0 K)**: -47.8 meV/atom
**Magnetization**: 0.00 μB/cell

(3)
Li3Mo: optimized geometry, GGA-PBE.

Geometry as CIF:
```
data_Li3Mo
_space_group_name_H-M_alt 'P m -3 n'
_space_group_IT_number 223
_space_group_name_Hall '-P 4n 2 3'
_cell_length_a 5.1331
_cell_length_b 5.1331
_cell_length_c 5.1331
_cell_angle_alpha 90.00
_cell_angle_beta 90.00
_cell_angle_gamma 90.00
loop_
_atom_site_label
_atom_site_fract_x
_atom_site_fract_y
_atom_site_fract_z
_atom_site_occupancy
Li1 0.0000 0.2500 0.5000 1
Mo1 0.0000 0.0000 0.0000 1
```

Properties
**Offset from the most stable computed form**: 0.5651 eV/atom
**ΔH_f (0 K)**: 797.1 meV/atom
**Magnetization**: 6.31 μB/cell

(4)
TbCe2Sm6Y3: optimized geometry, GGA-PBE.

Geometry as CIF:
```
data_TbCe2Sm6Y3
_space_group_name_H-M_alt 'C 1 2/m 1'
_space_group_IT_number 12
_cell_length_a 6.2239
_cell_length_b 10.7790
_cell_length_c 11.8957
_cell_angle_alpha 90.00
_cell_angle_beta 100.10
_cell_angle_gamma 90.00
loop_
_space_group_symop_operation_xyz
'x,y,z'
'-x,-y,-z'
'-x,y,-z'
'x,-y,z'
'x+1/2,y+1/2,z'
'-x+1/2,-y+1/2,-z'
'-x+1/2,y+1/2,-z'
'x+1/2,-y+1/2,z'
loop_
_atom_site_label
_atom_site_fract_x
_atom_site_fract_y
_atom_site_fract_z
_atom_site_occupancy
Tb1 0.0000 0.0000 0.0000 1
Ce1 0.0000 0.3334 0.0000 1
Sm1 0.2478 0.5000 0.2485 1
Sm2 0.2485 0.3321 0.7518 1
Y1 0.0000 0.1663 0.5000 1
Y2 0.0000 0.5000 0.5000 1
```

Properties
**ΔH_f (0 K)**: 52.1 meV/atom
**Magnetization**: 4.13 μB/cell